## CaSc2C (PBE-GGA)

Data for crystalline CaSc2C at its relaxed geometry.

It has space group R-3m (No. 166, hexagonal axes), with a = 3.5374 Å, b = 3.5374 Å, c = 29.9817 Å, α = 90.00°, β = 90.00° and γ = 120.00°. The asymmetric unit holds Ca at (0.0000, 0.0000, 0.0000), Sc at (0.0000, 0.0000, 0.4317) and C at (0.0000, 0.0000, 0.5000).

Its crystal system is trigonal.



## Zr2ReTc (PBE-GGA)

Data for crystalline Zr2ReTc at its relaxed geometry.

It has space group P4mm (No. 99), with a = 3.0553 Å, b = 3.0553 Å, c = 8.1598 Å, α = 90.00°, β = 90.00° and γ = 90.00°. The asymmetric unit holds Zr at (0.0000, 0.0000, 0.0000), Zr at (0.5000, 0.5000, 0.3271), Re at (0.0000, 0.0000, 0.5741) and Tc at (0.5000, 0.5000, 0.7535).

Its crystal system is tetragonal.



## ThTcB2 (PBE-GGA)

Data for crystalline ThTcB2 at its relaxed geometry.

It has space group R-3m (No. 166, hexagonal axes), with a = 3.4142 Å, b = 3.4142 Å, c = 17.5484 Å, α = 90.00°, β = 90.00° and γ = 120.00°. The asymmetric unit holds Th at (0.0000, 0.0000, 0.0000), Tc at (0.0000, 0.0000, 0.5000) and B at (0.0000, 0.0000, 0.2264).

The value obtained for the energy above the lowest structure with this stoichiometry is 405 meV/atom. Its crystal system is trigonal.



## Na2Hg6Bi3 (PBE-GGA)

Data for crystalline Na2Hg6Bi3 at its relaxed geometry.

It has space group C2/c (No. 15), with a = 13.0223 Å, b = 4.8867 Å, c = 20.7546 Å, α = 90.00°, β = 101.77° and γ = 90.00°. The asymmetric unit holds Na at (0.1042, 0.2500, 0.9999), Hg at (0.0524, 0.2480, 0.3942), Hg at (0.1211, 0.2519, 0.6046), Hg at (0.2101, 0.2528, 0.8779), Bi at (0.0000, 0.2557, 0.7500) and Bi at (0.1651, 0.2443, 0.2481).

Its crystal system is monoclinic.



## CeBeAlPt2 (PBE-GGA)

Data for crystalline CeBeAlPt2 at its relaxed geometry.

It has space group I-4m2 (No. 119), with a = 3.9816 Å, b = 3.9816 Å, c = 11.3173 Å, α = 90.00°, β = 90.00° and γ = 90.00°. The asymmetric unit holds Ce at (0.0000, 0.0000, 0.0000), Be at (0.0000, 0.5000, 0.7500), Al at (0.0000, 0.5000, 0.2500) and Pt at (0.0000, 0.0000, 0.3781).

Its crystal system is tetragonal.



## AcPaHg2 (PBE-GGA)

Data for crystalline AcPaHg2 at its relaxed geometry.

It has space group R-3m (No. 166, hexagonal axes), with a = 3.5702 Å, b = 3.5702 Å, c = 31.8641 Å, α = 90.00°, β = 90.00° and γ = 120.00°. The asymmetric unit holds Ac at (0.0000, 0.0000, 0.0000), Pa at (0.0000, 0.0000, 0.5000) and Hg at (0.0000, 0.0000, 0.2457).

The value obtained for the energy above the lowest structure with this stoichiometry is 131 meV/atom. Its crystal system is trigonal.



Number 1: formation enthalpy at 0 K 1.02 eV per atom. Number 2: formation enthalpy at 0 K -0.07 eV per atom. Number 3: formation enthalpy at 0 K -0.04 eV per atom. Number 4: formation enthalpy at 0 K -0.08 eV per atom. Number 5: formation enthalpy at 0 K -0.89 eV per atom. Number 6: formation enthalpy at 0 K 0.07 eV per atom.